PBE CdAg2AuBr6, relaxed; E_form (uncorrected) = -365.3 meV/atom; total magnetization = 0.0 μB per formula unit; density = 5.6 g/cm³
1.0
6.9805 0.0000 0.0000
-3.0603 6.5207 0.0000
-0.0677 -3.2453 6.5090
Cd Ag Au Br
1 2 1 6
Direct
0.0000 0.0000 0.0000
0.2196 0.4517 0.5977
0.6854 0.3939 0.0529
0.5009 0.0055 0.4877
0.0638 0.4272 0.2324
0.2738 0.1760 0.7416
0.4154 0.1728 0.2639
0.5915 0.8766 0.7458
0.7121 0.8248 0.2386
0.9227 0.5649 0.7949